The following is a DFT calculation (meta-GGA SCAN) of Na5Ti7AlP12O48 at its PBEsol-relaxed geometry.

## Properties
- Raw formation energy: -2817 meV per atom
- Space-group type: P1, No. 1
- Energy: -10.555 eV per atom

abc: 8.5460 8.7483 14.8072
angles: 73.65 89.93 60.88
With the nearest neighbours (Å) after each atom.
Positions (direct):
Na 0.0000 0.0000 0.0000  6 O 2.33-2.49
Na 0.0519 0.2526 0.4448  6 O 2.43-2.45
Na 0.3142 0.7528 0.2037  6 O 2.36-2.53
Na 0.5375 0.2471 0.9445  6 O 2.37-2.61
Na 0.8029 0.7497 0.6948  6 O 2.42-2.47
Ti 0.0216 0.3174 0.7694  6 O 1.91-1.97
Ti 0.0865 0.1903 0.1250  6 O 1.86-2.03
Ti 0.2706 0.8197 0.5177  6 O 1.90-1.97
Ti 0.3392 0.6800 0.8730  6 O 1.90-1.97
Ti 0.5224 0.3223 0.2640  6 O 1.91-1.98
Ti 0.5861 0.1834 0.6206  6 O 1.90-1.97
Ti 0.8370 0.6839 0.3705  6 O 1.90-1.98
Al 0.7710 0.8146 0.0165  6 O 1.84-1.97
P 0.2070 0.5159 0.0690  4 O 1.52-1.55
P 0.2854 0.5017 0.4252  4 O 1.53-1.54
P 0.2856 0.5000 0.7137  4 O 1.54
P 0.3229 0.0006 0.6769  4 O 1.54
P 0.3317 0.0001 0.9639  4 O 1.51-1.55
P 0.3926 0.0028 0.3210  4 O 1.53-1.54
P 0.7164 0.5014 0.5698  4 O 1.54
P 0.7813 0.5107 0.2100  4 O 1.51-1.55
P 0.7885 0.4995 0.9291  4 O 1.51-1.55
P 0.8194 0.0017 0.1717  4 O 1.54-1.55
P 0.8225 0.0041 0.4608  4 O 1.54
P 0.8916 0.9932 0.8196  4 O 1.53-1.55
O 0.0082 0.9892 0.4750  1 P 1.54
O 0.0269 0.6962 0.0498  1 P 1.52
O 0.0792 0.8180 0.8370  1 P 1.54
O 0.0999 0.5161 0.4114  1 P 1.54
O 0.1109 0.4913 0.7256  1 P 1.54
O 0.1734 0.1739 0.6956  1 P 1.54
O 0.1808 0.3468 0.0878  1 P 1.55
O 0.2064 0.1787 0.8808  1 P 1.55
O 0.2363 0.6749 0.6298  1 P 1.54
O 0.2489 0.0148 0.0565  1 P 1.55
O 0.2507 0.9913 0.5848  1 P 1.54
O 0.2661 0.6735 0.4446  1 P 1.54
O 0.2788 0.0195 0.2341  1 P 1.54
O 0.2942 0.9925 0.4074  1 P 1.54
O 0.3116 0.5140 0.9841  1 P 1.54
O 0.3241 0.4922 0.1564  1 P 1.54
O 0.3261 0.8370 0.9455  1 P 1.55
O 0.3592 0.5073 0.8063  1 P 1.54
O 0.3691 0.4907 0.3338  1 P 1.53
O 0.3727 0.8265 0.7615  1 P 1.54
O 0.4048 0.3262 0.5099  1 P 1.54
O 0.4126 0.1738 0.3012  1 P 1.53
O 0.4350 0.3268 0.6947  1 P 1.54
O 0.4971 0.0098 0.6645  1 P 1.54
O 0.5193 0.9760 0.9737  1 P 1.51
O 0.5289 0.6768 0.5514  1 P 1.54
O 0.5776 0.8254 0.3388  1 P 1.54
O 0.5986 0.5199 0.9172  1 P 1.55
O 0.6084 0.4975 0.2217  1 P 1.54
O 0.6708 0.1772 0.1899  1 P 1.54
O 0.6965 0.3305 0.5860  1 P 1.54
O 0.7034 0.1791 0.3759  1 P 1.54
O 0.7390 0.0145 0.5526  1 P 1.54
O 0.7387 0.6805 0.1280  1 P 1.51
O 0.7538 0.9932 0.0777  1 P 1.54
O 0.7816 0.0154 0.7305  1 P 1.53
O 0.7839 0.6605 0.9501  1 P 1.51
O 0.7945 0.9822 0.9064  1 P 1.53
O 0.8158 0.5144 0.4839  1 P 1.54
O 0.8266 0.4825 0.6584  1 P 1.54
O 0.8426 0.8321 0.4417  1 P 1.54
O 0.8533 0.5117 0.3052  1 P 1.54
O 0.8638 0.4858 0.8347  1 P 1.55
O 0.8656 0.8298 0.2569  1 P 1.54
O 0.9089 0.3119 0.0089  1 P 1.55
O 0.9190 0.1604 0.8079  1 P 1.55
O 0.9296 0.3301 0.1942  1 P 1.55
O 0.9970 0.0086 0.1613  1 P 1.55